1.
A plane-wave DFT calculation with PBE was carried out for a geometry-optimized Dy3CoBr3 structure.

Cell lengths 3.987, 8.512, 11.734 Å; angles 92.05, 90.00, 90.00 degrees
Atoms (fractional coordinates):
Dy 0.250 0.862 0.631
Dy 0.750 0.731 0.397
Dy 0.250 0.269 0.603
Dy 0.250 0.900 0.176
Dy 0.750 0.100 0.824
Dy 0.750 0.138 0.369
Br 0.750 0.575 0.631
Br 0.250 0.345 0.857
Br 0.250 0.865 0.897
Br 0.750 0.135 0.103
Br 0.750 0.655 0.143
Br 0.250 0.425 0.369
Co 0.250 0.942 0.404
Co 0.750 0.058 0.596

Calculated values
Density of states at the Fermi level = 0.364 states/eV/atom
E = -4.891 eV per atom
Crystal system = monoclinic
SG = No. 11
Calculated volume = 28.4 Å³ per atom
ΔE_f (raw) = -1.19 eV per atom



2.
A plane-wave DFT calculation with PBE was carried out for a geometry-optimized Dy4CoBr5 structure.

Cell lengths 3.881, 8.395, 10.790 Å; angles 89.62, 100.36, 90.00 degrees
Atoms (fractional coordinates):
Br 0.500 0.500 0.000
Br 0.849 0.247 0.698
Br 0.151 0.241 0.303
Br 0.151 0.753 0.302
Br 0.849 0.759 0.697
Dy 0.624 0.998 0.248
Dy 0.000 0.791 0.000
Dy 0.376 0.002 0.752
Dy 0.000 0.209 0.000
Co 0.500 0.000 0.000

Calculated values
Density of states at the Fermi level = 0.272 states/eV/atom
E = -4.701 eV per atom
Crystal system = monoclinic
SG = No. 12
Calculated volume = 34.6 Å³ per atom
ΔE_f (raw) = -1.31 eV per atom
Polymorph energy (0 for the lowest one) = 2.42 kJ per mole of atoms



3.
A plane-wave DFT calculation with PBE was carried out for a geometry-optimized Dy4Co2Br5 structure.

Cell lengths 3.918, 8.003, 11.287 Å; angles 91.81, 99.99, 90.00 degrees
Atoms (fractional coordinates):
Co 0.549 0.492 0.098
Co 0.451 0.508 0.902
Br 0.797 0.668 0.595
Br 0.500 0.000 0.000
Br 0.155 0.825 0.310
Br 0.845 0.175 0.690
Br 0.203 0.332 0.405
Dy 0.343 0.441 0.685
Dy 0.026 0.708 0.053
Dy 0.657 0.559 0.315
Dy 0.974 0.292 0.947

Calculated values
Density of states at the Fermi level = 0.464 states/eV/atom
E = -4.757 eV per atom
Crystal system = monoclinic
SG = No. 12
Calculated volume = 31.7 Å³ per atom
ΔE_f (raw) = -1.03 eV per atom
Polymorph energy (0 for the lowest one) = 0.00 kJ per mole of atoms



4.
A plane-wave DFT calculation with PBE was carried out for a geometry-optimized Dy4Co2Br5 structure.

Cell lengths 3.952, 8.090, 10.679 Å; angles 112.26, 100.66, 90.00 degrees
Atoms (fractional coordinates):
Dy 0.325 0.325 0.649
Dy 0.000 0.708 0.000
Dy 0.000 0.292 0.000
Dy 0.675 0.675 0.351
Br 0.830 0.596 0.659
Br 0.500 0.000 0.000
Br 0.830 0.063 0.659
Br 0.170 0.937 0.341
Br 0.170 0.404 0.341
Co 0.445 0.445 0.891
Co 0.555 0.555 0.109

Calculated values
Density of states at the Fermi level = 0.489 states/eV/atom
E = -4.675 eV per atom
Crystal system = orthorhombic
SG = No. 71
Calculated volume = 28.1 Å³ per atom
ΔE_f (raw) = -0.95 eV per atom
Polymorph energy (0 for the lowest one) = 7.94 kJ per mole of atoms



5.
A plane-wave DFT calculation with PBE was carried out for a geometry-optimized Dy4CoBr5 structure.

Cell lengths 3.892, 8.425, 9.538 Å; angles 102.52, 101.77, 90.00 degrees
Atoms (fractional coordinates):
Br 0.500 0.500 0.000
Br 0.832 0.662 0.665
Br 0.177 0.841 0.354
Br 0.823 0.159 0.646
Br 0.168 0.338 0.335
Co 0.500 0.000 0.000
Dy 0.999 0.792 0.999
Dy 0.645 0.078 0.290
Dy 0.001 0.208 0.001
Dy 0.355 0.922 0.710

Calculated values
Density of states at the Fermi level = 0.344 states/eV/atom
E = -4.726 eV per atom
Crystal system = monoclinic
SG = No. 12
Calculated volume = 29.9 Å³ per atom
ΔE_f (raw) = -1.34 eV per atom
Polymorph energy (0 for the lowest one) = 0.00 kJ per mole of atoms



6.
A plane-wave DFT calculation with PBE was carried out for a geometry-optimized Dy6Co2HBr3 structure.

Cell lengths 6.642, 6.642, 7.854 Å; angles 98.10, 98.10, 120.00 degrees
Atoms (fractional coordinates):
H 0.000 0.000 0.000
Dy 0.277 0.277 0.814
Dy 0.599 0.938 0.812
Dy 0.723 0.723 0.186
Dy 0.938 0.599 0.812
Dy 0.401 0.062 0.188
Dy 0.062 0.401 0.188
Br 0.833 0.167 0.500
Br 0.500 0.500 0.500
Br 0.167 0.833 0.500
Co 0.667 0.333 0.000
Co 0.333 0.667 0.000

Calculated values
Density of states at the Fermi level = 0.543 states/eV/atom
E = -4.926 eV per atom
Crystal system = monoclinic
SG = No. 12
Calculated volume = 24.0 Å³ per atom



> The lowest calculated volume belongs to which entry?

Dy6Co2HBr3



> calculated volume of number 3 (Dy4Co2Br5)?

31.7 Å³ per atom



> What is the calculated volume in the first record?

28.4 Å³ per atom